RbNdPb2Cl8 | GGA-PBE | relaxed

a b c (Å): 6.9400 6.6756 9.0943
angles (deg): 89.99 90.00 89.11
Fractional coordinates of all 12 atoms:
Cl (0.6826, 0.7476, 0.9999)
Rb (0.0000, 0.0000, 0.5000)
Cl (0.8363, 0.2356, 0.7842)
Cl (0.6282, 0.7209, 0.5000)
Pb (0.5000, 0.5000, 0.2526)
Cl (0.1637, 0.7644, 0.2158)
Nd (0.0000, 0.0000, 0.0000)
Cl (0.3174, 0.2524, 0.0001)
Cl (0.8361, 0.2355, 0.2157)
Cl (0.1639, 0.7645, 0.7843)
Cl (0.3718, 0.2791, 0.5000)
Pb (0.5000, 0.5000, 0.7474)

Formation energy without anion corrections ... -1.66 eV per atom
Total DFT energy (no corrections) ... -3.98 eV/atom
Size of the total moment ... 0.0 μB per cell
Crystal system ... monoclinic

=====

Th4SiSb2P | GGA-PBE | relaxed

a b c (Å): 4.3103 7.6983 7.4466
angles (deg): 71.10 90.00 90.00
Fractional coordinates of all 8 atoms:
Sb (0.0000, 0.0000, 0.0000)
Th (0.0000, 0.7190, 0.7621)
Th (0.0000, 0.2810, 0.2379)
Th (0.5000, 0.2787, 0.7419)
Th (0.5000, 0.7213, 0.2581)
P (0.5000, 0.5000, 0.0000)
Sb (0.5000, 0.0000, 0.5000)
Si (0.0000, 0.5000, 0.5000)

Formation energy without anion corrections ... -1.03 eV per atom
Total DFT energy (no corrections) ... -7.12 eV/atom
Size of the total moment ... 0.0 μB per cell
Crystal system ... monoclinic

=====

Pa2P4Ir3Pd | GGA-PBE | relaxed

a b c (Å): 4.2237 4.2237 9.3417
angles (deg): 90.00 90.00 90.00
Fractional coordinates of all 10 atoms:
Ir (0.5000, 0.0000, 0.8884)
Ir (0.0000, 0.0000, 0.5000)
Pd (0.5000, 0.5000, 0.5000)
Pa (0.5000, 0.0000, 0.2451)
P (0.5000, 0.5000, 0.0000)
Ir (0.0000, 0.5000, 0.1116)
P (0.5000, 0.0000, 0.6362)
P (0.0000, 0.5000, 0.3638)
P (0.0000, 0.0000, 0.0000)
Pa (0.0000, 0.5000, 0.7549)

Total DFT energy (no corrections) ... -8.12 eV/atom
E_form ... -0.878 eV/atom
Size of the total moment ... 0.0 μB per cell
Crystal system ... tetragonal